## Rb2CuPbI6 (PBE)

Data for a geometry-optimized Rb2CuPbI6 structure.

The space group is I4/mmm (No. 139) and the conventional cell measures 8.404, 8.404 and 11.959 Å, with angles of 90.00, 90.00 and 90.00 degrees. The inequivalent atoms are Rb at (0.000, 0.500, 0.250), Cu at (0.000, 0.000, 0.000), Pb at (0.000, 0.000, 0.500), I at (0.000, 0.000, 0.238) and I at (0.236, 0.236, 0.000).

The calculation puts the formation energy without anion corrections at -7.5 eV per formula unit. The total moment comes out at 0.000 μB/cell.

=====

## TlCd2Au (PBE)

Data for a geometry-optimized TlCd2Au structure.

The space group is Immm (No. 71) and the conventional cell measures 3.051, 5.651 and 11.115 Å, with angles of 90.00, 90.00 and 90.00 degrees. The inequivalent atoms are Tl at (0.000, 0.000, 0.000), Cd at (0.000, 0.500, 0.222) and Au at (0.000, 0.000, 0.500).

The calculation puts the formation energy at -10 meV per atom. For the distance to the lowest polymorph of the same formula, the calculation gives 0.082 eV/atom. The total moment comes out at 0.000 μB/cell.

=====

## Li3Ho2Se4 (PBE)

Data for a geometry-optimized Li3Ho2Se4 structure.

The space group is P-3m1 (No. 164) and the conventional cell measures 4.0202, 4.0202 and 15.3384 Å, with angles of 90.00, 90.00 and 120.00 degrees. The inequivalent atoms are Li at (0.0000, 0.0000, 0.0000), Li at (0.3333, 0.6667, 0.6052), Ho at (0.3333, 0.6667, 0.2099), Se at (0.0000, 0.0000, 0.3244) and Se at (0.3333, 0.6667, 0.8960).

The calculation puts the formation energy without anion corrections at -13.3 eV per formula unit. The total moment comes out at 0.575 μB/cell.

=====

## Nd3Al3Ga8 (PBE)

Data for a geometry-optimized Nd3Al3Ga8 structure.

The space group is Immm (No. 71) and the conventional cell measures 4.278, 9.989 and 13.118 Å, with angles of 90.00, 90.00 and 90.00 degrees. The inequivalent atoms are Nd at (0.000, 0.000, 0.000), Nd at (0.000, 0.000, 0.317), Al at (0.000, 0.218, 0.500), Al at (0.000, 0.500, 0.000), Ga at (0.000, 0.276, 0.138) and Ga at (0.000, 0.370, 0.334).

The calculation puts the formation energy at -474 meV per atom. The total moment comes out at 0.000 μB/cell.

=====

## LaYAgOs (PBE)

Data for a geometry-optimized LaYAgOs structure.

The space group is F-43m (No. 216) and the conventional cell measures 7.182, 7.182 and 7.182 Å, with angles of 90.00, 90.00 and 90.00 degrees. The inequivalent atoms are La at (0.000, 0.000, 0.000), Y at (0.000, 0.000, 0.500), Ag at (0.250, 0.250, 0.250) and Os at (0.250, 0.250, 0.750).

The calculation puts the formation energy at -154 meV per atom. The total moment comes out at 0.008 μB/cell.

=====

## Tl2Ir2Se (PBE)

Data for a geometry-optimized Tl2Ir2Se structure.

The space group is P4/mbm (No. 127) and the conventional cell measures 7.094, 7.094 and 4.001 Å, with angles of 90.00, 90.00 and 90.00 degrees. The inequivalent atoms are Tl at (0.169, 0.331, 0.000), Ir at (0.134, 0.634, 0.500) and Se at (0.000, 0.000, 0.500).

The calculation puts the formation energy without anion corrections at 2.3 eV per formula unit. For the distance to the lowest polymorph of the same formula, the calculation gives 0.008 eV/atom. The total moment comes out at 0.000 μB/cell.

=====

Question: Among the records above, which one has the highest total moment?
Answer: Li3Ho2Se4

=====

Question: Look up the total moment of the third one.
Answer: 0.575 μB/cell

=====

Question: Which formula does entry 1 have?
Answer: Rb2CuPbI6

=====

What did the third record say?
## Li3Ho2Se4 (PBE)

Data for a geometry-optimized Li3Ho2Se4 structure.

The space group is P-3m1 (No. 164) and the conventional cell measures 4.0202, 4.0202 and 15.3384 Å, with angles of 90.00, 90.00 and 120.00 degrees. The inequivalent atoms are Li at (0.0000, 0.0000, 0.0000), Li at (0.3333, 0.6667, 0.6052), Ho at (0.3333, 0.6667, 0.2099), Se at (0.0000, 0.0000, 0.3244) and Se at (0.3333, 0.6667, 0.8960).

The calculation puts the formation energy without anion corrections at -13.3 eV per formula unit. The total moment comes out at 0.575 μB/cell.